Computed, not measured: crystalline SmSe at its relaxed geometry at the PBE level of DFT.

```
6
Lattice="4.164 0.000 0.000 -2.082 3.606 0.000 0.000 0.000 10.207" Properties=species:S:1:pos:R:3 pbc="T T T"
Se 2.082 1.202 3.402
Se 0.000 2.404 6.805
Se 0.000 0.000 0.000
Sm 2.082 1.202 8.508
Sm 0.000 2.404 1.700
Sm 0.000 0.000 5.104
```

Properties
The value obtained for the calculated total energy is -5.919 eV per atom.